Entry 1:
DFT (PBE) results for a relaxed MnFePb2 crystal.

Final energy: -5.469 eV/atom
Total magnetic moment: 24.45 Bohr magnetons per cell

```
data_MnFePb2
_space_group_name_H-M_alt 'F -4 3 m'
_space_group_IT_number 216
_space_group_name_Hall 'F -4 2 3'
_cell_length_a 7.0247
_cell_length_b 7.0247
_cell_length_c 7.0247
_cell_angle_alpha 90.00
_cell_angle_beta 90.00
_cell_angle_gamma 90.00
loop_
_atom_site_label
_atom_site_fract_x
_atom_site_fract_y
_atom_site_fract_z
Mn1 0.0000 0.0000 0.0000
Fe1 0.2500 0.2500 0.7500
Pb1 0.0000 0.0000 0.5000
Pb2 0.2500 0.2500 0.2500
```

=====

Entry 2:
DFT (PBE) results for a relaxed ScCuMo2 crystal.

Final energy: -7.930 eV/atom
Total magnetic moment: 0.00 Bohr magnetons per cell

```
data_ScCuMo2
_space_group_name_H-M_alt 'F -4 3 m'
_space_group_IT_number 216
_space_group_name_Hall 'F -4 2 3'
_cell_length_a 6.3528
_cell_length_b 6.3528
_cell_length_c 6.3528
_cell_angle_alpha 90.00
_cell_angle_beta 90.00
_cell_angle_gamma 90.00
loop_
_atom_site_label
_atom_site_fract_x
_atom_site_fract_y
_atom_site_fract_z
Sc1 0.0000 0.0000 0.0000
Cu1 0.2500 0.2500 0.7500
Mo1 0.0000 0.0000 0.5000
Mo2 0.2500 0.2500 0.2500
```

=====

Entry 3:
DFT (PBE) results for a relaxed Y3ZrIr8 crystal.

Final energy: -8.996 eV/atom
Total magnetic moment: 0.00 Bohr magnetons per cell

```
data_Y3ZrIr8
_space_group_name_H-M_alt 'R 3 m'
_space_group_IT_number 160
_space_group_name_Hall 'R 3 -2"'
_cell_length_a 5.3381
_cell_length_b 5.3381
_cell_length_c 26.1273
_cell_angle_alpha 90.00
_cell_angle_beta 90.00
_cell_angle_gamma 120.00
loop_
_atom_site_label
_atom_site_fract_x
_atom_site_fract_y
_atom_site_fract_z
Y1 0.0000 0.0000 0.0000
Y2 0.0000 0.0000 0.1254
Y3 0.0000 0.0000 0.5006
Zr1 0.0000 0.0000 0.6250
Ir1 0.0000 0.0000 0.3128
Ir2 0.0000 0.0000 0.8127
Ir3 0.0019 0.5010 0.5640
Ir4 0.1675 0.3349 0.3948
```

=====

Entry 4:
DFT (PBE) results for a relaxed CdHRh3 crystal.

Final energy: -5.163 eV/atom
Total magnetic moment: 0.00 Bohr magnetons per cell

```
data_CdHRh3
_space_group_name_H-M_alt 'C 1 2/m 1'
_space_group_IT_number 12
_cell_length_a 13.7671
_cell_length_b 3.7112
_cell_length_c 5.5625
_cell_angle_alpha 90.00
_cell_angle_beta 90.80
_cell_angle_gamma 90.00
loop_
_space_group_symop_operation_xyz
'x,y,z'
'-x,-y,-z'
'-x,y,-z'
'x,-y,z'
'x+1/2,y+1/2,z'
'-x+1/2,-y+1/2,-z'
'-x+1/2,y+1/2,-z'
'x+1/2,-y+1/2,z'
loop_
_atom_site_label
_atom_site_fract_x
_atom_site_fract_y
_atom_site_fract_z
Cd1 0.0849 0.0000 0.3691
H1 0.0928 0.5000 0.8953
Rh1 0.0939 0.0000 0.8785
Rh2 0.2044 0.5000 0.1232
Rh3 0.2043 0.5000 0.6268
```

=====

Entry 5:
DFT (PBE) results for a relaxed LaDyHo2As4 crystal.

Final energy: -6.186 eV/atom
Total magnetic moment: 0.00 Bohr magnetons per cell

```
data_LaDyHo2As4
_space_group_name_H-M_alt 'P 1 2/m 1'
_space_group_IT_number 10
_cell_length_a 7.2293
_cell_length_b 4.1791
_cell_length_c 7.2319
_cell_angle_alpha 90.00
_cell_angle_beta 109.45
_cell_angle_gamma 90.00
loop_
_space_group_symop_operation_xyz
'x,y,z'
'-x,-y,-z'
'-x,y,-z'
'x,-y,z'
loop_
_atom_site_label
_atom_site_fract_x
_atom_site_fract_y
_atom_site_fract_z
La1 0.0000 0.0000 0.0000
Dy1 0.0000 0.5000 0.5000
Ho1 0.5000 0.0000 0.5000
Ho2 0.5000 0.5000 0.0000
As1 0.2556 0.0000 0.7460
As2 0.2602 0.5000 0.2596
```

=====

Entry 6:
DFT (PBE) results for a relaxed Pm2PaPb crystal.

Final energy: -5.530 eV/atom
Total magnetic moment: 5.70 Bohr magnetons per cell

```
data_Pm2PaPb
_space_group_name_H-M_alt 'F m -3 m'
_space_group_IT_number 225
_space_group_name_Hall '-F 4 2 3'
_cell_length_a 7.7573
_cell_length_b 7.7573
_cell_length_c 7.7573
_cell_angle_alpha 90.00
_cell_angle_beta 90.00
_cell_angle_gamma 90.00
loop_
_atom_site_label
_atom_site_fract_x
_atom_site_fract_y
_atom_site_fract_z
Pm1 0.2500 0.2500 0.2500
Pa1 0.0000 0.0000 0.0000
Pb1 0.0000 0.0000 0.5000
```

=====

Entry 7:
DFT (PBE) results for a relaxed Ac2AgPd3Pb4 crystal.

Final energy: -4.625 eV/atom
Total magnetic moment: 0.00 Bohr magnetons per cell

```
data_Ac2AgPd3Pb4
_space_group_name_H-M_alt 'P -4 m 2'
_space_group_IT_number 115
_cell_length_a 4.8258
_cell_length_b 4.8258
_cell_length_c 11.2207
_cell_angle_alpha 90.00
_cell_angle_beta 90.00
_cell_angle_gamma 90.00
loop_
_space_group_symop_operation_xyz
'x,y,z'
'y,-x,-z'
'-x,-y,z'
'-y,x,-z'
'-x,y,z'
'-y,-x,-z'
'x,-y,z'
'y,x,-z'
loop_
_atom_site_label
_atom_site_fract_x
_atom_site_fract_y
_atom_site_fract_z
Ac1 0.0000 0.5000 0.2401
Ag1 0.5000 0.5000 0.0000
Pd1 0.0000 0.0000 0.0000
Pd2 0.0000 0.5000 0.6297
Pb1 0.0000 0.0000 0.5000
Pb2 0.0000 0.5000 0.8691
Pb3 0.5000 0.5000 0.5000
```

=====

Entry 8:
DFT (PBE) results for a relaxed Nd2DyLu crystal.

Final energy: -4.565 eV/atom
Total magnetic moment: 0.03 Bohr magnetons per cell

```
data_Nd2DyLu
_space_group_name_H-M_alt 'F m -3 m'
_space_group_IT_number 225
_space_group_name_Hall '-F 4 2 3'
_cell_length_a 8.0853
_cell_length_b 8.0853
_cell_length_c 8.0853
_cell_angle_alpha 90.00
_cell_angle_beta 90.00
_cell_angle_gamma 90.00
loop_
_atom_site_label
_atom_site_fract_x
_atom_site_fract_y
_atom_site_fract_z
Nd1 0.2500 0.2500 0.2500
Dy1 0.0000 0.0000 0.0000
Lu1 0.0000 0.0000 0.5000
```

=====

Entry 9:
DFT (PBE) results for a relaxed SrTl2NiHg crystal.

Final energy: -2.628 eV/atom
Total magnetic moment: 0.00 Bohr magnetons per cell

```
data_SrTl2NiHg
_space_group_name_H-M_alt 'P 4/m m m'
_space_group_IT_number 123
_space_group_name_Hall '-P 4 2'
_cell_length_a 5.1275
_cell_length_b 5.1275
_cell_length_c 5.1734
_cell_angle_alpha 90.00
_cell_angle_beta 90.00
_cell_angle_gamma 90.00
loop_
_atom_site_label
_atom_site_fract_x
_atom_site_fract_y
_atom_site_fract_z
Sr1 0.0000 0.0000 0.0000
Tl1 0.0000 0.5000 0.5000
Ni1 0.5000 0.5000 0.5000
Hg1 0.5000 0.5000 0.0000
```

=====

Entry 10:
DFT (PBE) results for a relaxed Y2PuBi crystal.

Final energy: -8.023 eV/atom
Total magnetic moment: 6.98 Bohr magnetons per cell

```
data_Y2PuBi
_space_group_name_H-M_alt 'P 4/m m m'
_space_group_IT_number 123
_space_group_name_Hall '-P 4 2'
_cell_length_a 4.0166
_cell_length_b 4.0166
_cell_length_c 7.3396
_cell_angle_alpha 90.00
_cell_angle_beta 90.00
_cell_angle_gamma 90.00
loop_
_atom_site_label
_atom_site_fract_x
_atom_site_fract_y
_atom_site_fract_z
Y1 0.0000 0.0000 0.2326
Pu1 0.5000 0.5000 0.5000
Bi1 0.5000 0.5000 0.0000
```

=====

Entry 11:
DFT (PBE) results for a relaxed Pm3Dy4Ho5 crystal.

Final energy: -4.394 eV/atom
Total magnetic moment: 0.42 Bohr magnetons per cell

```
data_Pm3Dy4Ho5
_space_group_name_H-M_alt 'C 1 2/m 1'
_space_group_IT_number 12
_cell_length_a 15.9653
_cell_length_b 5.9010
_cell_length_c 9.2573
_cell_angle_alpha 90.00
_cell_angle_beta 116.09
_cell_angle_gamma 90.00
loop_
_space_group_symop_operation_xyz
'x,y,z'
'-x,-y,-z'
'-x,y,-z'
'x,-y,z'
'x+1/2,y+1/2,z'
'-x+1/2,-y+1/2,-z'
'-x+1/2,y+1/2,-z'
'x+1/2,-y+1/2,z'
loop_
_atom_site_label
_atom_site_fract_x
_atom_site_fract_y
_atom_site_fract_z
Pm1 0.0000 0.0000 0.0000
Pm2 0.2083 0.5000 0.2305
Dy1 0.0818 0.5000 0.4417
Dy2 0.2098 0.5000 0.8775
Ho1 0.0000 0.5000 0.0000
Ho2 0.0733 0.0000 0.6968
Ho3 0.1727 0.0000 0.3883
```

=====

Entry 12:
DFT (PBE) results for a relaxed Ba2TlSn3Pt4 crystal.

Final energy: -4.942 eV/atom
Total magnetic moment: 0.00 Bohr magnetons per cell

```
data_Ba2TlSn3Pt4
_space_group_name_H-M_alt 'P -4 m 2'
_space_group_IT_number 115
_cell_length_a 4.8660
_cell_length_b 4.8660
_cell_length_c 10.6634
_cell_angle_alpha 90.00
_cell_angle_beta 90.00
_cell_angle_gamma 90.00
loop_
_space_group_symop_operation_xyz
'x,y,z'
'y,-x,-z'
'-x,-y,z'
'-y,x,-z'
'-x,y,z'
'-y,-x,-z'
'x,-y,z'
'y,x,-z'
loop_
_atom_site_label
_atom_site_fract_x
_atom_site_fract_y
_atom_site_fract_z
Ba1 0.0000 0.5000 0.2446
Tl1 0.0000 0.0000 0.5000
Sn1 0.0000 0.5000 0.8846
Sn2 0.5000 0.5000 0.5000
Pt1 0.0000 0.0000 0.0000
Pt2 0.0000 0.5000 0.6328
Pt3 0.5000 0.5000 0.0000
```

=====

Entry 13:
DFT (PBE) results for a relaxed Y2Er4MgSc crystal.

Final energy: -4.852 eV/atom
Total magnetic moment: 0.00 Bohr magnetons per cell

```
data_Y2Er4MgSc
_space_group_name_H-M_alt 'P 4/m m m'
_space_group_IT_number 123
_space_group_name_Hall '-P 4 2'
_cell_length_a 4.8948
_cell_length_b 4.8948
_cell_length_c 9.8139
_cell_angle_alpha 90.00
_cell_angle_beta 90.00
_cell_angle_gamma 90.00
loop_
_atom_site_label
_atom_site_fract_x
_atom_site_fract_y
_atom_site_fract_z
Y1 0.0000 0.0000 0.0000
Y2 0.5000 0.5000 0.5000
Er1 0.0000 0.5000 0.2461
Mg1 0.0000 0.0000 0.5000
Sc1 0.5000 0.5000 0.0000
```

=====

Entry 14:
DFT (PBE) results for a relaxed NaHo3Tm2Se6 crystal.

E_form (uncorrected): -1700.2 meV per atom
Final energy: -5.442 eV/atom
Total magnetic moment: 0.00 Bohr magnetons per cell

```
data_NaHo3Tm2Se6
_space_group_name_H-M_alt 'C 1 2/m 1'
_space_group_IT_number 12
_cell_length_a 17.7040
_cell_length_b 4.0408
_cell_length_c 8.1541
_cell_angle_alpha 90.00
_cell_angle_beta 103.41
_cell_angle_gamma 90.00
loop_
_space_group_symop_operation_xyz
'x,y,z'
'-x,-y,-z'
'-x,y,-z'
'x,-y,z'
'x+1/2,y+1/2,z'
'-x+1/2,-y+1/2,-z'
'-x+1/2,y+1/2,-z'
'x+1/2,-y+1/2,z'
loop_
_atom_site_label
_atom_site_fract_x
_atom_site_fract_y
_atom_site_fract_z
Na1 0.0000 0.0000 0.0000
Ho1 0.0000 0.0000 0.5000
Ho2 0.1630 0.5000 0.8242
Tm1 0.1681 0.5000 0.3414
Se1 0.0030 0.5000 0.2528
Se2 0.1664 0.0000 0.5819
Se3 0.1690 0.0000 0.0859
```

=====

Entry 15:
DFT (PBE) results for a relaxed Ac5Pr6Dy2 crystal.

Final energy: -4.423 eV/atom
Total magnetic moment: 0.00 Bohr magnetons per cell

```
data_Ac5Pr6Dy2
_space_group_name_H-M_alt 'P b a m'
_space_group_IT_number 55
_cell_length_a 12.1066
_cell_length_b 22.1320
_cell_length_c 3.8242
_cell_angle_alpha 90.00
_cell_angle_beta 90.00
_cell_angle_gamma 90.00
loop_
_space_group_symop_operation_xyz
'x,y,z'
'-x,-y,-z'
'-x,-y,z'
'x,y,-z'
'x+1/2,-y+1/2,-z'
'-x+1/2,y+1/2,z'
'-x+1/2,y+1/2,-z'
'x+1/2,-y+1/2,z'
loop_
_atom_site_label
_atom_site_fract_x
_atom_site_fract_y
_atom_site_fract_z
Ac1 0.0000 0.0000 0.0000
Ac2 0.0646 0.4238 0.0000
Ac3 0.1461 0.7231 0.0000
Pr1 0.0825 0.1532 0.0000
Pr2 0.1655 0.8814 0.5000
Pr3 0.2251 0.5560 0.5000
Dy1 0.1154 0.2840 0.5000
```

=====

Entry 16:
DFT (PBE) results for a relaxed ZnTe crystal.

E_form (uncorrected): 32.1 meV per atom
Final energy: -2.176 eV/atom
Total magnetic moment: 0.00 Bohr magnetons per cell

```
data_ZnTe
_space_group_name_H-M_alt 'P 4/m m m'
_space_group_IT_number 123
_space_group_name_Hall '-P 4 2'
_cell_length_a 3.8621
_cell_length_b 3.8621
_cell_length_c 4.8514
_cell_angle_alpha 90.00
_cell_angle_beta 90.00
_cell_angle_gamma 90.00
loop_
_atom_site_label
_atom_site_fract_x
_atom_site_fract_y
_atom_site_fract_z
Zn1 0.0000 0.0000 0.0000
Te1 0.5000 0.5000 0.0000
```

=====

Entry 17:
DFT (PBE) results for a relaxed ScCd3Sn crystal.

Final energy: -2.021 eV/atom
Total magnetic moment: 0.00 Bohr magnetons per cell

```
data_ScCd3Sn
_space_group_name_H-M_alt 'P m -3 m'
_space_group_IT_number 221
_space_group_name_Hall '-P 4 2 3'
_cell_length_a 5.4284
_cell_length_b 5.4284
_cell_length_c 5.4284
_cell_angle_alpha 90.00
_cell_angle_beta 90.00
_cell_angle_gamma 90.00
loop_
_atom_site_label
_atom_site_fract_x
_atom_site_fract_y
_atom_site_fract_z
Sc1 0.0000 0.0000 0.0000
Cd1 0.0000 0.5000 0.5000
Sn1 0.5000 0.5000 0.5000
```

=====

Entry 18:
DFT (PBE) results for a relaxed Nd2GaCu4Sn3 crystal.

Final energy: -4.528 eV/atom
Total magnetic moment: 0.00 Bohr magnetons per cell

```
data_Nd2GaCu4Sn3
_space_group_name_H-M_alt 'P -4 m 2'
_space_group_IT_number 115
_cell_length_a 4.3801
_cell_length_b 4.3801
_cell_length_c 10.6797
_cell_angle_alpha 90.00
_cell_angle_beta 90.00
_cell_angle_gamma 90.00
loop_
_space_group_symop_operation_xyz
'x,y,z'
'y,-x,-z'
'-x,-y,z'
'-y,x,-z'
'-x,y,z'
'-y,-x,-z'
'x,-y,z'
'y,x,-z'
loop_
_atom_site_label
_atom_site_fract_x
_atom_site_fract_y
_atom_site_fract_z
Nd1 0.0000 0.5000 0.2498
Ga1 0.0000 0.0000 0.5000
Cu1 0.0000 0.0000 0.0000
Cu2 0.0000 0.5000 0.6293
Cu3 0.5000 0.5000 0.0000
Sn1 0.0000 0.5000 0.8674
Sn2 0.5000 0.5000 0.5000
```

=====

Entry 19:
DFT (PBE) results for a relaxed Cu2PdAu4 crystal.

Final energy: -3.785 eV/atom
Total magnetic moment: 0.00 Bohr magnetons per cell

```
data_Cu2PdAu4
_space_group_name_H-M_alt 'C m c e'
_space_group_IT_number 64
_space_group_name_Hall '-C 2ac 2'
_cell_length_a 4.6806
_cell_length_b 7.4334
_cell_length_c 13.5294
_cell_angle_alpha 90.00
_cell_angle_beta 90.00
_cell_angle_gamma 90.00
loop_
_atom_site_label
_atom_site_fract_x
_atom_site_fract_y
_atom_site_fract_z
Cu1 0.0000 0.1867 0.1157
Pd1 0.0000 0.0000 0.5000
Au1 0.0000 0.0152 0.2999
Au2 0.0000 0.1536 0.9116
```

=====

Entry 20:
DFT (PBE) results for a relaxed MgInCl5 crystal.

E_form (uncorrected): -1348.9 meV per atom
Final energy: -3.287 eV/atom
Total magnetic moment: 0.00 Bohr magnetons per cell

```
data_MgInCl5
_space_group_name_H-M_alt 'C 1 2/c 1'
_space_group_IT_number 15
_cell_length_a 10.1659
_cell_length_b 8.6161
_cell_length_c 10.2349
_cell_angle_alpha 90.00
_cell_angle_beta 117.34
_cell_angle_gamma 90.00
loop_
_space_group_symop_operation_xyz
'x,y,z'
'-x,-y,-z'
'-x,y,-z+1/2'
'x,-y,z+1/2'
'x+1/2,y+1/2,z'
'-x+1/2,-y+1/2,-z'
'-x+1/2,y+1/2,-z+1/2'
'x+1/2,-y+1/2,z+1/2'
loop_
_atom_site_label
_atom_site_fract_x
_atom_site_fract_y
_atom_site_fract_z
Mg1 0.2500 0.2500 0.0000
In1 0.0000 0.0687 0.2500
Cl1 0.0000 0.2294 0.7500
Cl2 0.1046 0.2601 0.1444
Cl3 0.2355 0.0333 0.4840
```